Record 1
# CaCuPd2 | Alexandria | PBE-GGA | optimized geometry
# Energy relative to the lowest polymorph listed for this composition (eV per formula unit): 1.66
# Energy of formation from the pure elements (eV/atom): 0.00
data_CaCuPd2
_chemical_formula_sum 'Ca4 Cu4 Pd8'
_space_group_name_H-M_alt 'P m m a'
_space_group_IT_number 51
_cell_length_a 5.472
_cell_length_b 7.149
_cell_length_c 9.188
_cell_angle_alpha 90.00
_cell_angle_beta 90.00
_cell_angle_gamma 90.00
loop_
_space_group_symop_operation_xyz
'x,y,z'
'-x,-y,-z'
'-x+1/2,-y,z'
'x+1/2,y,-z'
'x+1/2,-y,-z'
'-x+1/2,y,z'
'-x,y,-z'
'x,-y,z'
loop_
_atom_site_label
_atom_site_type_symbol
_atom_site_fract_x
_atom_site_fract_y
_atom_site_fract_z
Ca1 Ca 0.250 0.000 0.165
Ca2 Ca 0.250 0.500 0.298
Cu1 Cu 0.250 0.000 0.740
Cu2 Cu 0.250 0.500 0.783
Pd1 Pd 0.000 0.000 0.500
Pd2 Pd 0.000 0.500 0.000
Pd3 Pd 0.250 0.307 0.564

Record 2
# PPtS4 | Alexandria | PBE-GGA | optimized geometry
# Uncorrected formation energy (meV per atom): -175.0
data_PPtS4
_chemical_formula_sum 'P2 Pt2 S8'
_space_group_name_H-M_alt 'C 1 2/m 1'
_space_group_IT_number 12
_cell_length_a 13.864
_cell_length_b 3.416
_cell_length_c 5.842
_cell_angle_alpha 90.00
_cell_angle_beta 111.94
_cell_angle_gamma 90.00
loop_
_space_group_symop_operation_xyz
'x,y,z'
'-x,-y,-z'
'-x,y,-z'
'x,-y,z'
'x+1/2,y+1/2,z'
'-x+1/2,-y+1/2,-z'
'-x+1/2,y+1/2,-z'
'x+1/2,-y+1/2,z'
loop_
_atom_site_label
_atom_site_type_symbol
_atom_site_fract_x
_atom_site_fract_y
_atom_site_fract_z
P1 P 0.000 0.000 0.000
Pt1 Pt 0.000 0.500 0.500
S1 S 0.103 0.000 0.767
S2 S 0.104 0.500 0.253

Record 3
# ZnCuTc | Alexandria | PBE-GGA | optimized geometry
# Energy relative to the lowest polymorph listed for this composition (eV per formula unit): 0.22
# Energy of formation from the pure elements (eV/atom): 0.04
data_ZnCuTc
_chemical_formula_sum 'Zn2 Cu2 Tc2'
_space_group_name_H-M_alt 'P 1 m 1'
_space_group_IT_number 6
_cell_length_a 2.737
_cell_length_b 3.733
_cell_length_c 8.106
_cell_angle_alpha 90.00
_cell_angle_beta 92.07
_cell_angle_gamma 90.00
loop_
_space_group_symop_operation_xyz
'x,y,z'
'x,-y,z'
loop_
_atom_site_label
_atom_site_type_symbol
_atom_site_fract_x
_atom_site_fract_y
_atom_site_fract_z
Zn1 Zn 0.000 0.000 0.000
Zn2 Zn 0.011 0.000 0.671
Cu1 Cu 0.494 0.500 0.849
Cu2 Cu 0.512 0.500 0.524
Tc1 Tc 0.523 0.500 0.189
Tc2 Tc 0.994 0.000 0.337

Record 4
# Zr2SiHg | Alexandria | PBE-GGA | optimized geometry
# Uncorrected formation energy (meV per atom): -5.6
data_Zr2SiHg
_chemical_formula_sum 'Zr2 Si1 Hg1'
_space_group_name_H-M_alt 'P 4 m m'
_space_group_IT_number 99
_cell_length_a 3.094
_cell_length_b 3.094
_cell_length_c 8.689
_cell_angle_alpha 90.00
_cell_angle_beta 90.00
_cell_angle_gamma 90.00
loop_
_space_group_symop_operation_xyz
'x,y,z'
'-y,x,z'
'-x,-y,z'
'y,-x,z'
'-x,y,z'
'y,x,z'
'x,-y,z'
'-y,-x,z'
loop_
_atom_site_label
_atom_site_type_symbol
_atom_site_fract_x
_atom_site_fract_y
_atom_site_fract_z
Zr1 Zr 0.000 0.000 0.000
Zr2 Zr 0.500 0.500 0.271
Si1 Si 0.500 0.500 0.779
Hg1 Hg 0.000 0.000 0.533

Record 5
# NaLiPbBr4 | Alexandria | PBE-GGA | optimized geometry
# Uncorrected formation energy (meV per atom): -1267.3
data_NaLiPbBr4
_chemical_formula_sum 'Na4 Li4 Pb4 Br16'
_space_group_name_H-M_alt 'I m m a'
_space_group_IT_number 74
_space_group_name_Hall '-I 2b 2'
_cell_length_a 8.447
_cell_length_b 8.707
_cell_length_c 12.102
_cell_angle_alpha 90.00
_cell_angle_beta 90.00
_cell_angle_gamma 90.00
loop_
_atom_site_label
_atom_site_type_symbol
_atom_site_fract_x
_atom_site_fract_y
_atom_site_fract_z
Na1 Na 0.250 0.250 0.250
Li1 Li 0.000 0.250 0.641
Pb1 Pb 0.000 0.000 0.000
Br1 Br 0.000 0.006 0.251
Br2 Br 0.244 0.250 0.500

Record 6
# ZrSi2As | Alexandria | PBE-GGA | optimized geometry
# Energy relative to the lowest polymorph listed for this composition (eV per formula unit): 1.65
# Uncorrected formation energy (meV per atom): 60.6
data_ZrSi2As
_chemical_formula_sum 'Zr3 Si6 As3'
_space_group_name_H-M_alt 'R -3 m'
_space_group_IT_number 166
_space_group_name_Hall '-R 3 2"'
_cell_length_a 3.4337
_cell_length_b 3.4337
_cell_length_c 21.7614
_cell_angle_alpha 90.00
_cell_angle_beta 90.00
_cell_angle_gamma 120.00
loop_
_atom_site_label
_atom_site_type_symbol
_atom_site_fract_x
_atom_site_fract_y
_atom_site_fract_z
Zr1 Zr 0.0000 0.0000 0.0000
Si1 Si 0.0000 0.0000 0.2418
As1 As 0.0000 0.0000 0.5000

What did the third record say?
# ZnCuTc | Alexandria | PBE-GGA | optimized geometry
# Energy relative to the lowest polymorph listed for this composition (eV per formula unit): 0.22
# Energy of formation from the pure elements (eV/atom): 0.04
data_ZnCuTc
_chemical_formula_sum 'Zn2 Cu2 Tc2'
_space_group_name_H-M_alt 'P 1 m 1'
_space_group_IT_number 6
_cell_length_a 2.737
_cell_length_b 3.733
_cell_length_c 8.106
_cell_angle_alpha 90.00
_cell_angle_beta 92.07
_cell_angle_gamma 90.00
loop_
_space_group_symop_operation_xyz
'x,y,z'
'x,-y,z'
loop_
_atom_site_label
_atom_site_type_symbol
_atom_site_fract_x
_atom_site_fract_y
_atom_site_fract_z
Zn1 Zn 0.000 0.000 0.000
Zn2 Zn 0.011 0.000 0.671
Cu1 Cu 0.494 0.500 0.849
Cu2 Cu 0.512 0.500 0.524
Tc1 Tc 0.523 0.500 0.189
Tc2 Tc 0.994 0.000 0.337